Entry 1:
# Pm11Y4Tm9

Pm11Y4Tm9 after structural relaxation (GGA-PBE, the Alexandria database).

Results
The calculated volume comes out at 1570.6 Å³/cell. The formation enthalpy at 0 K is 63 meV/atom. Its density of states at the Fermi level is 61.6 states/eV/cell. Its theoretical density is 7.3 g cm⁻³. The calculation puts the total moment at 0.00 μB/f.u.

Unit cell a=16.8499 b=25.5956 c=3.6418 alpha=90.00 beta=90.00 gamma=90.00
Closest atoms and distances in Å follow each position.
Space group Cmmm (No. 65)
One atom of each set of equivalent atoms:
1 Pm 0.0000 0.0000 0.0000  8 Tm 3.52, 2 Pm 3.64
2 Pm 0.0000 0.1610 0.0000  4 Pm 3.64-3.79, 8 Tm 3.71-3.73
3 Pm 0.0000 0.3678 0.0000  4 Y 3.31, 4 Tm 3.58, 2 Pm 3.64
4 Pm 0.2100 0.5000 0.0000  4 Y 3.29, 4 Tm 3.64, 2 Pm 3.64
5 Pm 0.2227 0.1815 0.0000  2 Y 3.41, 6 Tm 3.51-3.71, 4 Pm 3.62-3.79
6 Y 0.1573 0.3985 0.5000  6 Pm 3.29-3.41, 2 Tm 3.48-3.49, 2 Y 3.64
7 Tm 0.0000 0.5000 0.5000  2 Tm 3.64, 4 Y 3.71, 8 Pm 3.84-3.98
8 Tm 0.1019 0.2677 0.5000  3 Tm 3.43-3.64, 1 Y 3.48, 8 Pm 3.51-3.71
9 Tm 0.1398 0.0730 0.5000  1 Y 3.49, 8 Pm 3.52-3.73, 3 Tm 3.64-3.74

=====

Entry 2:
# UTl2AgSe5

UTl2AgSe5 after structural relaxation (GGA-PBE, the Alexandria database).

Results
The calculated volume comes out at 1065.9 Å³/cell. The total DFT energy (no corrections) is -4.5694 eV per atom. Its density of states at the Fermi level is 18.8 states/eV/cell. Its theoretical density is 7.2 g cm⁻³. The calculation puts the total moment at 0.09 μB/f.u.

Unit cell a=4.1712 b=18.4768 c=13.8302 alpha=90.00 beta=90.00 gamma=90.00
Closest atoms and distances in Å follow each position.
Space group Cmc2_1 (No. 36)
One atom of each set of equivalent atoms:
1 U 0.0000 0.2174 0.0000  6 Se 2.64-2.77
2 Tl 0.0000 0.0831 0.6295  5 Se 2.95-3.29
3 Tl 0.0000 0.1035 0.3026  5 Se 3.05-3.31
4 Ag 0.0000 0.4168 0.4010  4 Se 2.58-2.66
5 Se 0.0000 0.0750 0.0199  1 U 2.64, 2 Ag 2.66
6 Se 0.0000 0.2715 0.6278  2 U 2.74
7 Se 0.0000 0.2756 0.3685  1 Ag 2.65, 2 U 2.77
8 Se 0.0000 0.3628 0.9815  1 U 2.70
9 Se 0.0000 0.4914 0.2432  1 Ag 2.58

=====

Entry 3:
# InReC3

InReC3 after structural relaxation (GGA-PBE, the Alexandria database).

Results
The calculated volume comes out at 70.4 Å³/cell. As for the polymorph energy (0 for the lowest one): 2100 meV/atom. The formation enthalpy at 0 K is 3753 meV/atom. Its density of states at the Fermi level is 4.6 states/eV/cell. Its theoretical density is 8.0 g cm⁻³. The calculation puts the total moment at 0.00 μB/f.u.

Unit cell a=4.1286 b=4.1286 c=4.1286 alpha=90.00 beta=90.00 gamma=90.00
Closest atoms and distances in Å follow each position.
Space group Pm-3m (No. 221)
One atom of each set of equivalent atoms:
1 In 0.0000 0.0000 0.0000  6 C 2.06
2 Re 0.5000 0.5000 0.5000  12 C 2.92
3 C 0.0000 0.0000 0.5000  2 In 2.06